A geometry-optimized Mg4In2Bi3 structure, computed with PBE.

Fermi-level density of states: 2.4 states/eV/f.u.
crystal system: monoclinic
formation energy from the elements: -0.5 eV/f.u.

a = 11.837 Å, b = 16.102 Å, c = 5.440 Å
α = 90.00°, β = 92.48°, γ = 90.00°
Space group C2/c (No. 15)
One atom of each set of equivalent atoms:
Mg1 0.114 0.059 0.453
Mg2 0.135 0.341 0.751
In1 0.144 0.461 0.240
Bi1 0.000 0.299 0.250
Bi2 0.137 0.138 0.958